This record from the Alexandria database describes a relaxed CeNbH3 crystal. The functional is PBE.

abc: 3.845 3.845 3.845
angles: 90.00 90.00 90.00
Each line ends with the local moment (μB).
Fractional positions:
Ce: 0.500 0.500 0.500  0.41
H: 0.000 0.500 0.000  0.00
H: 0.500 0.000 0.000  0.00
H: 0.000 0.000 0.500  0.00
Nb: 0.000 0.000 0.000  -0.05

## Properties
Space-group type = Pm-3m, No. 221
Electronic total energy = -27.4 eV for the cell shown
Crystal system = cubic